No. 1
This record from Alexandria describes a relaxed La2Cd2Sn3 crystal. The functional is GGA-PBE.

Properties
The value obtained for the total energy is -27.29 eV/f.u. The calculation puts the formation energy at -0.51 eV/atom.

Lattice parameters (Å, degrees): 4.9359 21.9294 7.2917 90.00 90.00 90.00
Space group Cmcm (No. 63)
Symmetry-distinct sites (fractional):
La (0.0000, 0.0289, 0.2500) [4 per cell]
La (0.0000, 0.1535, 0.7500) [4 per cell]
Cd (0.0000, 0.2948, 0.5235) [8 per cell]
Sn (0.0000, 0.1861, 0.2500) [4 per cell]
Sn (0.0000, 0.4296, 0.0439) [8 per cell]



No. 2
This record from Alexandria describes a relaxed PmTmI crystal. The functional is GGA-PBE.

Properties
The value obtained for the total energy is -12.02 eV/f.u. The uncorrected formation energy is -414 meV/atom.

Lattice parameters (Å, degrees): 3.7047 3.7047 13.9566 90.00 90.00 90.00
Space group I4mm (No. 107)
Symmetry-distinct sites (fractional):
Pm (0.0000, 0.0000, 0.0000) [2 per cell]
Tm (0.0000, 0.0000, 0.6690) [2 per cell]
I (0.0000, 0.0000, 0.3281) [2 per cell]



No. 3
This record from Alexandria describes a relaxed Y2CdNi crystal. The functional is GGA-PBE.

Properties
The value obtained for the total energy is -20.48 eV/f.u. The calculation puts the formation energy at -0.21 eV/atom.

Lattice parameters (Å, degrees): 3.4449 4.9343 10.9517 90.00 90.00 90.00
Space group Imm2 (No. 44)
Symmetry-distinct sites (fractional):
Y (0.0000, 0.0000, 0.0000) [2 per cell]
Y (0.0000, 0.5000, 0.2025) [2 per cell]
Cd (0.0000, 0.5000, 0.7984) [2 per cell]
Ni (0.0000, 0.0000, 0.4976) [2 per cell]



No. 4
This record from Alexandria describes a relaxed CaRe2Ni crystal. The functional is GGA-PBE.

Properties
The value obtained for the total energy is -30.04 eV/f.u. The calculation puts the formation energy at 0.66 eV/atom.

Lattice parameters (Å, degrees): 2.7922 2.7922 28.3386 90.00 90.00 120.00
Space group R-3m (No. 166, hexagonal axes)
Symmetry-distinct sites (fractional):
Ca (0.0000, 0.0000, 0.0000) [3 per cell]
Re (0.0000, 0.0000, 0.2389) [6 per cell]
Ni (0.0000, 0.0000, 0.5000) [3 per cell]